# 1
{"formula": "TlBrCl", "functional": "PBE", "state": "relaxed", "lattice": [[8.9954, -1.6692, 1.1704], [-1.4985, 7.7511, -2.0163], [3.1990, 0.6451, 6.6222]], "species": ["Cl", "Tl", "Cl", "Cl", "Tl", "Br", "Br", "Br", "Tl", "Tl", "Br", "Cl"], "fractional_positions": [[0.8700, 0.6799, 0.6554], [0.9937, 0.0023, 0.7536], [0.3566, 0.6690, 0.1688], [0.6976, 0.0622, 0.8235], [0.5027, 0.9888, 0.2464], [0.2008, 0.0717, 0.2985], [0.2962, 0.9205, 0.6971], [0.1460, 0.3402, 0.8276], [0.0136, 0.6640, 0.1562], [0.5014, 0.3518, 0.8617], [0.6343, 0.3311, 0.3384], [0.7945, 0.9184, 0.1728]], "space_group": "No. 1", "density_kg_m3": 4855, "dft_energy_ev_per_cell": -31.9}



# 2
{"formula": "Ce2AlRe", "functional": "PBE", "state": "relaxed", "lattice": [[3.5208, 0.0000, 0.0000], [0.0000, 3.5208, 0.0000], [0.0000, 0.0000, 7.2919]], "species": ["Ce", "Al", "Re", "Ce"], "fractional_positions": [[0.0000, 0.0000, 0.2299], [0.5000, 0.5000, 0.5000], [0.5000, 0.5000, 0.0000], [0.0000, 0.0000, 0.7701]], "space_group": "No. 123", "density_kg_m3": 9064, "ef_kj_per_mol_fu": -15.9}



# 3
{"formula": "Te2PtI", "functional": "PBE", "state": "relaxed", "lattice": [[-6.6299, 5.2771, 3.1197], [-0.1494, -1.6017, 8.1561], [3.4319, 1.9666, 0.9532]], "species": ["Te", "Pt", "Pt", "I", "Te", "Te", "Te", "I"], "fractional_positions": [[0.6951, 0.6082, 0.6903], [0.4942, 0.7410, 0.0415], [0.3584, 0.1742, 0.3621], [0.8775, 0.8885, 0.7416], [0.2918, 0.8746, 0.3957], [0.5331, 0.4026, 0.2892], [0.5569, 0.0405, 0.0039], [0.1451, 0.3176, 0.7066]], "space_group": "No. 1", "density_kg_m3": 6818, "dft_energy_ev_per_cell": -29.6}



# 4
{"formula": "NaGa4Ag4", "functional": "PBE", "state": "relaxed", "lattice": [[-4.8477, 0.7427, -0.1225], [0.1734, -0.3593, -9.0383], [-1.3773, -8.9356, 0.3288]], "species": ["Ga", "Na", "Ag", "Ag", "Ag", "Ga", "Ga", "Ga", "Ag", "Ag", "Na", "Ga", "Ag", "Ga", "Ga", "Ag", "Ga", "Ag"], "fractional_positions": [[0.9999, 0.2095, 0.3298], [0.0000, 0.0000, 0.0000], [0.9999, 0.1004, 0.6158], [0.5001, 0.6004, 0.1158], [0.5001, 0.3996, 0.8842], [0.5001, 0.7095, 0.8298], [0.9999, 0.7905, 0.6702], [0.4999, 0.1702, 0.7095], [0.0001, 0.6158, 0.8996], [0.4999, 0.1158, 0.3996], [0.5000, 0.5000, 0.5000], [0.0001, 0.3298, 0.7905], [0.0001, 0.3842, 0.1004], [0.0001, 0.6702, 0.2095], [0.4999, 0.8298, 0.2905], [0.9999, 0.8996, 0.3842], [0.5001, 0.2905, 0.1702], [0.4999, 0.8842, 0.6004]], "space_group": "No. 87", "density_kg_m3": 6065, "ef_kj_per_mol_fu": 24.4}



# 5
{"formula": "K2SbBr", "functional": "PBE", "state": "relaxed", "lattice": [[-1.5957, 3.1138, 0.3365], [-3.3817, -1.2024, -4.9100], [-4.8700, -2.9359, 4.0732]], "species": ["Sb", "K", "K", "Br"], "fractional_positions": [[0.0000, 0.0000, 0.3750], [0.0000, 0.0000, 0.8750], [0.5000, 0.5000, 0.3755], [0.5000, 0.5000, 0.8745]], "space_group": "No. 25", "density_kg_m3": 3108, "dft_energy_ev_per_cell": -10.8}



# 6
{"formula": "Zr2SnF11", "functional": "PBE", "state": "relaxed", "lattice": [[-3.2104, 3.7738, 6.0855], [1.0598, -3.1913, 7.5978], [4.6832, 5.4796, 4.1322]], "species": ["Sn", "F", "F", "Zr", "F", "F", "F", "F", "F", "F", "F", "F", "Sn", "F", "F", "F", "F", "F", "F", "F", "F", "F", "Zr", "Zr", "F", "F", "Zr", "F"], "fractional_positions": [[0.2500, 0.2500, 0.2500], [0.1339, 0.0603, 0.2101], [0.0395, 0.1800, 0.5379], [0.1378, 0.8183, 0.1817], [0.2426, 0.5379, 0.1800], [0.9043, 0.4397, 0.2899], [0.6339, 0.7101, 0.5603], [0.7426, 0.6800, 0.0379], [0.1275, 0.2181, 0.7819], [0.5000, 0.5000, 0.5000], [0.6275, 0.2819, 0.7181], [0.0957, 0.5603, 0.7101], [0.7500, 0.7500, 0.7500], [0.8661, 0.9397, 0.7899], [0.3661, 0.2899, 0.4397], [0.9605, 0.8200, 0.4621], [0.4605, 0.9621, 0.3200], [0.7574, 0.4621, 0.8200], [0.2574, 0.3200, 0.9621], [0.0000, 0.0000, 0.0000], [0.3725, 0.7181, 0.2819], [0.8725, 0.7819, 0.2181], [0.8622, 0.1817, 0.8183], [0.3622, 0.3183, 0.6817], [0.5957, 0.2101, 0.0603], [0.5395, 0.0379, 0.6800], [0.6378, 0.6817, 0.3183], [0.4043, 0.7899, 0.9397]], "space_group": "No. 72", "density_kg_m3": 4034, "dft_energy_ev_per_cell": -173.7}